No. 1
# LiCo2P

A relaxed structure of LiCo2P (PBEsol, Alexandria via LeMat-Bulk).

Results
**Energy relative to the elements**: -0.09 eV per atom
**Total energy**: -5.8944 eV per atom
**Density**: 5.528 Mg/m³

a b c (Å): 2.579 2.579 7.034
angles (deg): 90.00 90.00 90.00
Last column: magnetic moment on the atom in μB.
Positions (direct):
Li1 0.000 0.000 0.506  -0.01
Co1 0.000 0.000 0.980  0.61
P1 0.500 0.500 0.793  -0.01
Co2 0.500 0.500 0.222  1.67


No. 2
# SiTeN2F

A relaxed structure of SiTeN2F (PBEsol, Alexandria via LeMat-Bulk).

Results
**Raw formation energy**: 0.1322 eV/atom
**Total energy**: -5.5185 eV per atom
**Density**: 4.902 Mg/m³
**Excess energy over the best structure of this formula in the dataset**: 0.0 meV/atom

a b c (Å): 3.450 3.450 5.770
angles (deg): 90.00 90.00 90.00
Positions (direct):
N1 0.500 0.000 0.000
Te1 0.000 0.000 0.500
N2 0.000 0.500 0.000
F1 0.500 0.500 0.500
Si1 0.000 0.000 0.000


Number 1: N(E_F) 3.2 states/eV per cell. Number 2: N(E_F) 2.4 states/eV per cell.